Entry 1:
SrAlW: optimized geometry, GGA-PBE.

Output
Calculated formation energy (eV/atom): 0.60
Density of states at the Fermi level (states/eV per cell): 2.0
Polymorph energy (0 for the lowest one) (eV/atom): 0.0198

a b c (Å): 7.625 7.623 2.934
angles (deg): 78.95 78.86 22.19
Sites, in units of the cell vectors:
Sr 0.334 0.334 0.666
Al 0.018 0.018 0.982
W 0.648 0.648 0.352


Entry 2:
Nd5Dy3Th2: optimized geometry, GGA-PBE.

Output
Calculated formation energy (eV/atom): 0.22
Density of states at the Fermi level (states/eV per cell): 32.7

a b c (Å): 9.938 9.950 11.166
angles (deg): 128.11 128.09 67.32
Sites, in units of the cell vectors:
Dy 0.727 0.468 0.248
Dy 0.021 0.780 0.248
Th 0.529 0.273 0.246
Th 0.217 0.974 0.246
Nd 0.124 0.376 0.243
Nd 0.024 0.774 0.547
Nd 0.976 0.226 0.453
Dy 0.769 0.019 0.038
Nd 0.277 0.527 0.054
Dy 0.979 0.220 0.752
Nd 0.619 0.867 0.243
Dy 0.231 0.981 0.962
Nd 0.381 0.133 0.757
Dy 0.273 0.532 0.752
Nd 0.876 0.624 0.757
Nd 0.517 0.267 0.534
Nd 0.483 0.733 0.466
Nd 0.723 0.473 0.946
Th 0.471 0.727 0.754
Th 0.783 0.026 0.754


Entry 3:
Ac2PmErS6: optimized geometry, GGA-PBE.

Output
Formation energy (no corrections) (kJ/mol of atoms): -202
Density of states at the Fermi level (states/eV per cell): 0.0

a b c (Å): 7.304 7.304 7.527
angles (deg): 60.98 60.98 60.00
Sites, in units of the cell vectors:
S 0.448 0.679 0.766
Pm 0.814 0.814 0.558
S 0.958 0.596 0.260
S 0.107 0.448 0.766
S 0.596 0.185 0.260
S 0.679 0.107 0.766
S 0.185 0.958 0.260
Er 0.316 0.316 0.052
Ac 0.529 0.529 0.412
Ac 0.028 0.028 0.915


Entry 4:
Mg3GaB: optimized geometry, GGA-PBE.

Output
Calculated formation energy (eV/atom): 1.00
Density of states at the Fermi level (states/eV per cell): 2.9
Polymorph energy (0 for the lowest one) (eV/atom): 0.8279

a b c (Å): 4.964 4.964 4.964
angles (deg): 90.00 90.00 90.00
Sites, in units of the cell vectors:
Ga 0.000 0.000 0.000
B 0.500 0.500 0.500
Mg 0.000 0.000 0.500
Mg 0.000 0.500 0.000
Mg 0.500 0.000 0.000


Entry 5:
Li2InCu2: optimized geometry, GGA-PBE.

Output
Calculated formation energy (eV/atom): 0.02
Density of states at the Fermi level (states/eV per cell): 1.3
Polymorph energy (0 for the lowest one) (eV/atom): 0.1548

a b c (Å): 7.277 7.277 7.277
angles (deg): 152.50 152.50 39.29
Sites, in units of the cell vectors:
Cu 0.250 0.750 0.500
Li 0.390 0.390 0.000
In 0.000 0.000 0.000
Cu 0.750 0.250 0.500
Li 0.610 0.610 0.000


Entry 6:
MgGa: optimized geometry, GGA-PBE.

Output
Calculated formation energy (eV/atom): -0.11
Density of states at the Fermi level (states/eV per cell): 1.4

a b c (Å): 6.586 6.586 6.112
angles (deg): 77.37 77.37 27.09
Sites, in units of the cell vectors:
Ga 0.637 0.637 0.229
Ga 0.303 0.303 0.363
Mg 0.656 0.656 0.710
Mg 0.961 0.961 0.563
Ga 0.302 0.302 0.915
Mg 0.973 0.973 0.054


For reference, calculated total energy by record: -5.523, -5.033, -6.327, -1.896, -2.928, -2.424 eV per atom.
For reference, total magnetization by record: 0.00, 0.00, 0.00, 0.00, 0.00, 0.00 μB/cell.